# 1
The following is a PBE calculation of an optimized crystal structure of HoAl2I8, from the Alexandria database.

The value obtained for the formation energy from raw total energies is -789 meV/atom. As for the electronic total energy: -66.29 eV per cell.

Lattice parameters (Å, degrees): 14.059 11.156 7.227 90.00 98.68 90.00
Space group C2/m (No. 12)
Symmetry-distinct sites (fractional):
Ho  0.000  0.000  0.000 x2
Al  0.195  0.000  0.654 x4
I  0.096  0.180  0.773 x8
I  0.129  0.500  0.204 x4
I  0.188  0.000  0.279 x4

=====

# 2
The following is a PBE calculation of an optimized crystal structure of ZrMnFe2, from the Alexandria database.

The calculated formation energy is 0.39 eV per atom. As for the electronic total energy: -99.27 eV per cell.

Lattice parameters (Å, degrees): 2.8463 2.8463 25.8602 90.00 90.00 120.00
Space group R3m (No. 160, hexagonal axes)
Symmetry-distinct sites (fractional):
Zr  0.0000  0.0000  0.0000 x3
Mn  0.0000  0.0000  0.2387 x3
Fe  0.0000  0.0000  0.4943 x3
Fe  0.0000  0.0000  0.7576 x3

=====

# 3
The following is a PBE calculation of an optimized crystal structure of Pr11Dy4Y9, from the Alexandria database.

The calculated formation energy is 0.05 eV per atom. As for the electronic total energy: -255.99 eV per cell.

Lattice parameters (Å, degrees): 17.153 25.970 3.696 90.00 90.00 90.00
Space group Cmmm (No. 65)
Symmetry-distinct sites (fractional):
Pr  0.000  0.000  0.000 x2
Pr  0.000  0.160  0.000 x4
Pr  0.000  0.369  0.000 x4
Pr  0.207  0.500  0.000 x4
Pr  0.225  0.181  0.000 x8
Dy  0.157  0.398  0.500 x8
Y  0.000  0.500  0.500 x2
Y  0.102  0.267  0.500 x8
Y  0.141  0.073  0.500 x8

=====

# 4
The following is a PBE calculation of an optimized crystal structure of Sr2LaTlNi, from the Alexandria database.

The calculated formation energy is -0.11 eV per atom. As for the electronic total energy: -16.99 eV per cell.

Lattice parameters (Å, degrees): 5.826 5.826 5.280 90.00 90.00 90.00
Space group P4/mmm (No. 123)
Symmetry-distinct sites (fractional):
Sr  0.000  0.500  0.000 x2
La  0.000  0.000  0.500 x1
Tl  0.500  0.500  0.500 x1
Ni  0.000  0.000  0.000 x1

=====

# 5
The following is a PBE calculation of an optimized crystal structure of KHf3Ag, from the Alexandria database.

The calculated formation energy is 2.19 eV per atom. The value obtained for the excess energy over the best structure of this formula in the dataset is 953 meV per atom. As for the electronic total energy: -22.87 eV per cell.

Lattice parameters (Å, degrees): 4.909 4.909 4.909 90.00 90.00 90.00
Space group Pm-3m (No. 221)
Symmetry-distinct sites (fractional):
K  0.000  0.000  0.000 x1
Hf  0.000  0.000  0.500 x3
Ag  0.500  0.500  0.500 x1

=====

# 6
The following is a PBE calculation of an optimized crystal structure of TlIn3GaHg, from the Alexandria database.

The calculated formation energy is 0.04 eV per atom. As for the electronic total energy: -27.40 eV per cell.

Lattice parameters (Å, degrees): 6.864 4.418 10.831 90.00 101.68 90.00
Space group P2_1/m (No. 11)
Symmetry-distinct sites (fractional):
Tl  0.207  0.250  0.270 x2
In  0.108  0.250  0.926 x2
In  0.344  0.750  0.525 x2
In  0.402  0.750  0.094 x2
Ga  0.319  0.750  0.798 x2
Hg  0.096  0.250  0.625 x2

=====

> Number 1 is which compound?

HoAl2I8

=====

> Which of these has the highest electronic total energy?

Sr2LaTlNi